Record 1
# LaTb2Y3P6 PBE relaxed
# M_tot = 0.000 μB per atom
# formation energy = -37.0 kcal/mol of atoms
data_LaTb2Y3P6
_cell_length_a 7.0406
_cell_length_b 12.1934
_cell_length_c 7.0383
_cell_angle_alpha 90.00
_cell_angle_beta 109.48
_cell_angle_gamma 90.00
_symmetry_space_group_name_H-M 'C 1 2/m 1'
_symmetry_Int_Tables_number 12
loop_
_symmetry_equiv_pos_as_xyz
'x,y,z'
'-x,-y,-z'
'-x,y,-z'
'x,-y,z'
'x+1/2,y+1/2,z'
'-x+1/2,-y+1/2,-z'
'-x+1/2,y+1/2,-z'
'x+1/2,-y+1/2,z'
loop_
_atom_site_label
_atom_site_type_symbol
_atom_site_fract_x
_atom_site_fract_y
_atom_site_fract_z
La1 La 0.0000 0.0000 0.0000
Tb1 Tb 0.0000 0.3330 0.0000
Y1 Y 0.0000 0.1656 0.5000
Y2 Y 0.0000 0.5000 0.5000
P1 P 0.2450 0.3300 0.7452
P2 P 0.2447 0.5000 0.2544

***

Record 2
# BPbO3 PBE relaxed
# M_tot = 0.000 μB per atom
# raw formation energy = -637 meV/atom
data_BPbO3
_cell_length_a 3.5264
_cell_length_b 3.5264
_cell_length_c 3.5264
_cell_angle_alpha 90.00
_cell_angle_beta 90.00
_cell_angle_gamma 90.00
_symmetry_space_group_name_H-M 'P m -3 m'
_symmetry_Int_Tables_number 221
_symmetry_space_group_name_Hall '-P 4 2 3'
loop_
_atom_site_label
_atom_site_type_symbol
_atom_site_fract_x
_atom_site_fract_y
_atom_site_fract_z
B1 B 0.0000 0.0000 0.0000
Pb1 Pb 0.5000 0.5000 0.5000
O1 O 0.0000 0.0000 0.5000

***

Record 3
# AsBrCl PBE relaxed
# M_tot = 0.000 μB per atom
# raw formation energy = -55 meV/atom
# ΔE to the lowest computed polymorph = 41.8 kJ/mol of atoms
data_AsBrCl
_cell_length_a 4.2176
_cell_length_b 4.2176
_cell_length_c 6.1526
_cell_angle_alpha 90.00
_cell_angle_beta 90.00
_cell_angle_gamma 120.00
_symmetry_space_group_name_H-M 'P 3 m 1'
_symmetry_Int_Tables_number 156
loop_
_symmetry_equiv_pos_as_xyz
'x,y,z'
'-y,x-y,z'
'-x+y,-x,z'
'-y,-x,z'
'-x+y,y,z'
'x,x-y,z'
loop_
_atom_site_label
_atom_site_type_symbol
_atom_site_fract_x
_atom_site_fract_y
_atom_site_fract_z
As1 As 0.0000 0.0000 0.0000
Br1 Br 0.6667 0.3333 0.2208
Cl1 Cl 0.3333 0.6667 0.8069

***

Record 4
# KCdTc2 PBE relaxed
# M_tot = 0.000 μB per atom
# formation energy = 24.2 kcal/mol of atoms
data_KCdTc2
_cell_length_a 2.7704
_cell_length_b 5.0062
_cell_length_c 11.2862
_cell_angle_alpha 90.00
_cell_angle_beta 90.00
_cell_angle_gamma 90.00
_symmetry_space_group_name_H-M 'I m m m'
_symmetry_Int_Tables_number 71
_symmetry_space_group_name_Hall '-I 2 2'
loop_
_atom_site_label
_atom_site_type_symbol
_atom_site_fract_x
_atom_site_fract_y
_atom_site_fract_z
K1 K 0.0000 0.0000 0.0000
Cd1 Cd 0.0000 0.0000 0.5000
Tc1 Tc 0.0000 0.5000 0.2243

***

Record 5
# CaIn2NiI PBE relaxed
# M_tot = 0.000 μB per atom
# raw formation energy = -385 meV/atom
data_CaIn2NiI
_cell_length_a 4.9665
_cell_length_b 4.9665
_cell_length_c 5.8360
_cell_angle_alpha 90.00
_cell_angle_beta 90.00
_cell_angle_gamma 90.00
_symmetry_space_group_name_H-M 'P 4/m m m'
_symmetry_Int_Tables_number 123
_symmetry_space_group_name_Hall '-P 4 2'
loop_
_atom_site_label
_atom_site_type_symbol
_atom_site_fract_x
_atom_site_fract_y
_atom_site_fract_z
Ca1 Ca 0.0000 0.0000 0.0000
In1 In 0.0000 0.5000 0.5000
Ni1 Ni 0.0000 0.0000 0.5000
I1 I 0.5000 0.5000 0.0000

***

Record 6
# ErAl2Zn6 PBE relaxed
# M_tot = 0.000 μB per atom
# formation energy = -1.6 kcal/mol of atoms
data_ErAl2Zn6
_cell_length_a 3.6289
_cell_length_b 7.1466
_cell_length_c 12.4138
_cell_angle_alpha 90.00
_cell_angle_beta 90.00
_cell_angle_gamma 90.00
_symmetry_space_group_name_H-M 'I m m m'
_symmetry_Int_Tables_number 71
_symmetry_space_group_name_Hall '-I 2 2'
loop_
_atom_site_label
_atom_site_type_symbol
_atom_site_fract_x
_atom_site_fract_y
_atom_site_fract_z
Er1 Er 0.0000 0.0000 0.0000
Al1 Al 0.0000 0.5000 0.1253
Zn1 Zn 0.0000 0.1731 0.5000
Zn2 Zn 0.0000 0.3187 0.3166

***

Record 7
# KPrNd PBE relaxed
# M_tot = 0.000 μB per atom
# formation energy = 3.3 kcal/mol of atoms
data_KPrNd
_cell_length_a 5.3471
_cell_length_b 5.3439
_cell_length_c 18.3364
_cell_angle_alpha 90.00
_cell_angle_beta 90.16
_cell_angle_gamma 90.00
_symmetry_space_group_name_H-M 'C 1 2/m 1'
_symmetry_Int_Tables_number 12
loop_
_symmetry_equiv_pos_as_xyz
'x,y,z'
'-x,-y,-z'
'-x,y,-z'
'x,-y,z'
'x+1/2,y+1/2,z'
'-x+1/2,-y+1/2,-z'
'-x+1/2,y+1/2,-z'
'x+1/2,-y+1/2,z'
loop_
_atom_site_label
_atom_site_type_symbol
_atom_site_fract_x
_atom_site_fract_y
_atom_site_fract_z
K1 K 0.2455 0.0000 0.1104
Pr1 Pr 0.2481 0.5000 0.2949
Nd1 Nd 0.2495 0.0000 0.4295

***

Record 8
# Pm6NdCo2 PBE relaxed
# M_tot = 0.000 μB per atom
# formation energy = 0.2 kcal/mol of atoms
data_Pm6NdCo2
_cell_length_a 9.6214
_cell_length_b 10.2002
_cell_length_c 10.4683
_cell_angle_alpha 90.00
_cell_angle_beta 90.00
_cell_angle_gamma 90.00
_symmetry_space_group_name_H-M 'I m m m'
_symmetry_Int_Tables_number 71
_symmetry_space_group_name_Hall '-I 2 2'
loop_
_atom_site_label
_atom_site_type_symbol
_atom_site_fract_x
_atom_site_fract_y
_atom_site_fract_z
Pm1 Pm 0.0000 0.2197 0.2251
Pm2 Pm 0.1929 0.1927 0.5000
Pm3 Pm 0.2015 0.5000 0.3073
Nd1 Nd 0.0000 0.0000 0.0000
Nd2 Nd 0.0000 0.5000 0.0000
Co1 Co 0.0000 0.0000 0.3798
Co2 Co 0.0000 0.3906 0.5000